A geometry-optimized AcHo4Er2Tm structure. Source: Alexandria via LeMat-Bulk, functional PBE.

Results
electronic total energy: -4.454 eV/atom

Cell: 5.057 5.034 11.306 Å, 63.58 90.00 90.00°
Fractional positions:
Ho  0.500  0.260  0.740
Ho  0.000  0.759  0.741
Ho  0.000  0.241  0.259
Ho  0.500  0.740  0.260
Ac  0.500  0.500  0.000
Tm  0.000  0.500  0.500
Er  0.000  0.000  0.000
Er  0.500  0.000  0.500

A geometry-optimized AcHo2ErTm4 structure. Source: Alexandria via LeMat-Bulk, functional PBE.

Results
electronic total energy: -4.412 eV/atom

Cell: 5.046 5.036 11.248 Å, 63.41 90.00 90.00°
Fractional positions:
Er  0.000  0.500  0.500
Ho  0.000  0.000  0.000
Ho  0.500  0.000  0.500
Ac  0.500  0.500  0.000
Tm  0.500  0.741  0.260
Tm  0.000  0.241  0.259
Tm  0.500  0.259  0.740
Tm  0.000  0.759  0.741

A geometry-optimized AcHo4ErTm2 structure. Source: Alexandria via LeMat-Bulk, functional PBE.

Results
electronic total energy: -4.442 eV/atom

Cell: 5.056 5.032 11.303 Å, 63.58 90.00 90.00°
Fractional positions:
Ac  0.500  0.500  0.000
Ho  0.000  0.241  0.259
Ho  0.500  0.260  0.740
Ho  0.000  0.759  0.741
Ho  0.500  0.740  0.260
Tm  0.000  0.000  0.000
Tm  0.500  0.000  0.500
Er  0.000  0.500  0.500

Question: What is the electronic total energy in the first record?
Answer: -4.454 eV/atom

Question: What is the formula in the second record?
Answer: AcHo2ErTm4

Question: What is the electronic total energy in the second record?
Answer: -4.412 eV/atom